No. 1
# AgTeW3 | Alexandria via LeMat-Bulk | GGA-PBE | relaxed
# uncorrected formation energy: 2.5581 eV/atom
# ΔE to the lowest computed polymorph: 0.0 meV per atom
# calculated volume: 116.32 Å³ per cell
# calculated total energy: -32.1 eV for the cell shown
# mass density: 11235 kg/m³
data_AgTeW3
_cell_length_a 4.882
_cell_length_b 4.882
_cell_length_c 4.882
_cell_angle_alpha 90.00
_cell_angle_beta 90.00
_cell_angle_gamma 90.00
_symmetry_space_group_name_H-M 'P m -3 m'
_symmetry_Int_Tables_number 221
_symmetry_space_group_name_Hall '-P 4 2 3'
loop_
_atom_site_label
_atom_site_type_symbol
_atom_site_fract_x
_atom_site_fract_y
_atom_site_fract_z
Ag1 Ag 0.000 0.000 0.000
Te1 Te 0.500 0.500 0.500
W1 W 0.000 0.500 0.500

No. 2
# AgTe2W | Alexandria via LeMat-Bulk | GGA-PBE | relaxed
# uncorrected formation energy: 0.2907 eV/atom
# ΔE to the lowest computed polymorph: 0.0 meV per atom
# calculated volume: 299.92 Å³ per cell
# calculated total energy: -62.8 eV for the cell shown
# mass density: 9084 kg/m³
data_AgTe2W
_cell_length_a 3.5275
_cell_length_b 3.5275
_cell_length_c 27.8310
_cell_angle_alpha 90.00
_cell_angle_beta 90.00
_cell_angle_gamma 120.00
_symmetry_space_group_name_H-M 'R -3 m'
_symmetry_Int_Tables_number 166
_symmetry_space_group_name_Hall '-R 3 2"'
loop_
_atom_site_label
_atom_site_type_symbol
_atom_site_fract_x
_atom_site_fract_y
_atom_site_fract_z
Ag1 Ag 0.0000 0.0000 0.0000
Te1 Te 0.0000 0.0000 0.1004
W1 W 0.0000 0.0000 0.5000

No. 3
# AgTeW2 | Alexandria via LeMat-Bulk | GGA-PBE | relaxed
# uncorrected formation energy: 1.1175 eV/atom
# calculated volume: 148.55 Å³ per cell
# calculated total energy: -54.9 eV for the cell shown
# mass density: 13485 kg/m³
data_AgTeW2
_cell_length_a 3.206
_cell_length_b 4.697
_cell_length_c 9.866
_cell_angle_alpha 90.00
_cell_angle_beta 90.00
_cell_angle_gamma 90.00
_symmetry_space_group_name_H-M 'C m m m'
_symmetry_Int_Tables_number 65
_symmetry_space_group_name_Hall '-C 2 2'
loop_
_atom_site_label
_atom_site_type_symbol
_atom_site_fract_x
_atom_site_fract_y
_atom_site_fract_z
Ag1 Ag 0.000 0.000 0.000
Te1 Te 0.000 0.000 0.500
W1 W 0.000 0.500 0.243

No. 4
# Ag2TeW | Alexandria via LeMat-Bulk | GGA-PBE | relaxed
# uncorrected formation energy: 0.7747 eV/atom
# calculated volume: 78.23 Å³ per cell
# calculated total energy: -18.7 eV for the cell shown
# mass density: 11191 kg/m³
data_Ag2TeW
_cell_length_a 2.844
_cell_length_b 4.769
_cell_length_c 5.767
_cell_angle_alpha 90.00
_cell_angle_beta 90.00
_cell_angle_gamma 90.00
_symmetry_space_group_name_H-M 'P m m m'
_symmetry_Int_Tables_number 47
_symmetry_space_group_name_Hall '-P 2 2'
loop_
_atom_site_label
_atom_site_type_symbol
_atom_site_fract_x
_atom_site_fract_y
_atom_site_fract_z
Ag1 Ag 0.000 0.000 0.230
Te1 Te 0.500 0.500 0.500
W1 W 0.500 0.500 0.000

No. 5
# Ag2TeW | Alexandria via LeMat-Bulk | GGA-PBE | relaxed
# uncorrected formation energy: 0.8189 eV/atom
# calculated volume: 76.20 Å³ per cell
# calculated total energy: -18.5 eV for the cell shown
# mass density: 11489 kg/m³
data_Ag2TeW
_cell_length_a 4.028
_cell_length_b 4.028
_cell_length_c 4.695
_cell_angle_alpha 90.00
_cell_angle_beta 90.00
_cell_angle_gamma 90.00
_symmetry_space_group_name_H-M 'P 4/m m m'
_symmetry_Int_Tables_number 123
_symmetry_space_group_name_Hall '-P 4 2'
loop_
_atom_site_label
_atom_site_type_symbol
_atom_site_fract_x
_atom_site_fract_y
_atom_site_fract_z
Ag1 Ag 0.000 0.500 0.000
Te1 Te 0.000 0.000 0.500
W1 W 0.500 0.500 0.500

No. 6
# AgTeW2 | Alexandria via LeMat-Bulk | GGA-PBE | relaxed
# uncorrected formation energy: 0.9676 eV/atom
# calculated volume: 293.31 Å³ per cell
# calculated total energy: -112.1 eV for the cell shown
# mass density: 13658 kg/m³
data_AgTeW2
_cell_length_a 6.644
_cell_length_b 6.644
_cell_length_c 6.644
_cell_angle_alpha 90.00
_cell_angle_beta 90.00
_cell_angle_gamma 90.00
_symmetry_space_group_name_H-M 'F -4 3 m'
_symmetry_Int_Tables_number 216
_symmetry_space_group_name_Hall 'F -4 2 3'
loop_
_atom_site_label
_atom_site_type_symbol
_atom_site_fract_x
_atom_site_fract_y
_atom_site_fract_z
Ag1 Ag 0.000 0.000 0.000
Te1 Te 0.250 0.250 0.750
W1 W 0.000 0.000 0.500
W2 W 0.250 0.250 0.250

No. 7
# Ag2TeW | Alexandria via LeMat-Bulk | GGA-PBE | relaxed
# uncorrected formation energy: 0.7788 eV/atom
# calculated volume: 299.74 Å³ per cell
# calculated total energy: -74.7 eV for the cell shown
# mass density: 11682 kg/m³
data_Ag2TeW
_cell_length_a 6.692
_cell_length_b 6.692
_cell_length_c 6.692
_cell_angle_alpha 90.00
_cell_angle_beta 90.00
_cell_angle_gamma 90.00
_symmetry_space_group_name_H-M 'F -4 3 m'
_symmetry_Int_Tables_number 216
_symmetry_space_group_name_Hall 'F -4 2 3'
loop_
_atom_site_label
_atom_site_type_symbol
_atom_site_fract_x
_atom_site_fract_y
_atom_site_fract_z
Ag1 Ag 0.000 0.000 0.000
Ag2 Ag 0.250 0.250 0.250
Te1 Te 0.250 0.250 0.750
W1 W 0.000 0.000 0.500

No. 8
# YAgTe2W | Alexandria via LeMat-Bulk | GGA-PBE | relaxed
# uncorrected formation energy: 1.2806 eV/atom
# calculated volume: 188.95 Å³ per cell
# calculated total energy: -22.1 eV for the cell shown
# mass density: 5588 kg/m³
data_YAgTe2W
_cell_length_a 5.788
_cell_length_b 5.788
_cell_length_c 5.641
_cell_angle_alpha 90.00
_cell_angle_beta 90.00
_cell_angle_gamma 90.00
_symmetry_space_group_name_H-M 'P 4/m m m'
_symmetry_Int_Tables_number 123
_symmetry_space_group_name_Hall '-P 4 2'
loop_
_atom_site_label
_atom_site_type_symbol
_atom_site_fract_x
_atom_site_fract_y
_atom_site_fract_z
Y1 Y 0.000 0.000 0.000
Ag1 Ag 0.500 0.500 0.500
Te1 Te 0.000 0.500 0.000
W1 W 0.000 0.000 0.500

No. 9
# Y2Ag2Te | Alexandria via LeMat-Bulk | GGA-PBE | relaxed
# uncorrected formation energy: -0.4608 eV/atom
# ΔE to the lowest computed polymorph: 18.2 meV per atom
# calculated volume: 270.96 Å³ per cell
# calculated total energy: -48.2 eV for the cell shown
# mass density: 6387 kg/m³
data_Y2Ag2Te
_cell_length_a 8.058
_cell_length_b 8.058
_cell_length_c 4.173
_cell_angle_alpha 90.00
_cell_angle_beta 90.00
_cell_angle_gamma 90.00
_symmetry_space_group_name_H-M 'P 4/m b m'
_symmetry_Int_Tables_number 127
_symmetry_space_group_name_Hall '-P 4 2ab'
loop_
_atom_site_label
_atom_site_type_symbol
_atom_site_fract_x
_atom_site_fract_y
_atom_site_fract_z
Y1 Y 0.168 0.332 0.000
Ag1 Ag 0.125 0.625 0.500
Te1 Te 0.000 0.000 0.000

No. 10
# YAgTe | Alexandria via LeMat-Bulk | GGA-PBE | relaxed
# uncorrected formation energy: -0.3381 eV/atom
# ΔE to the lowest computed polymorph: 266.1 meV per atom
# calculated volume: 335.18 Å³ per cell
# calculated total energy: -53.9 eV for the cell shown
# mass density: 6428 kg/m³
data_YAgTe
_cell_length_a 6.946
_cell_length_b 6.946
_cell_length_c 6.946
_cell_angle_alpha 90.00
_cell_angle_beta 90.00
_cell_angle_gamma 90.00
_symmetry_space_group_name_H-M 'F -4 3 m'
_symmetry_Int_Tables_number 216
_symmetry_space_group_name_Hall 'F -4 2 3'
loop_
_atom_site_label
_atom_site_type_symbol
_atom_site_fract_x
_atom_site_fract_y
_atom_site_fract_z
Y1 Y 0.000 0.000 0.000
Ag1 Ag 0.250 0.250 0.250
Te1 Te 0.000 0.000 0.500

No. 11
# Y6AgTe2 | Alexandria via LeMat-Bulk | GGA-PBE | relaxed
# uncorrected formation energy: -0.6851 eV/atom
# calculated volume: 1044.03 Å³ per cell
# calculated total energy: -216.3 eV for the cell shown
# mass density: 5704 kg/m³
data_Y6AgTe2
_cell_length_a 22.140
_cell_length_b 4.066
_cell_length_c 11.596
_cell_angle_alpha 90.00
_cell_angle_beta 90.00
_cell_angle_gamma 90.00
_symmetry_space_group_name_H-M 'P n m a'
_symmetry_Int_Tables_number 62
_symmetry_space_group_name_Hall '-P 2ac 2n'
loop_
_atom_site_label
_atom_site_type_symbol
_atom_site_fract_x
_atom_site_fract_y
_atom_site_fract_z
Y1 Y 0.016 0.250 0.112
Y2 Y 0.030 0.750 0.381
Y3 Y 0.108 0.250 0.834
Y4 Y 0.147 0.750 0.079
Y5 Y 0.158 0.250 0.540
Y6 Y 0.234 0.750 0.757
Ag1 Ag 0.074 0.750 0.648
Te1 Te 0.127 0.250 0.280
Te2 Te 0.238 0.250 0.970

No. 12
# Y7Ag2Te2 | Alexandria via LeMat-Bulk | GGA-PBE | relaxed
# uncorrected formation energy: -0.6115 eV/atom
# calculated volume: 629.51 Å³ per cell
# calculated total energy: -127.9 eV for the cell shown
# mass density: 5768 kg/m³
data_Y7Ag2Te2
_cell_length_a 4.104
_cell_length_b 15.721
_cell_length_c 9.756
_cell_angle_alpha 90.00
_cell_angle_beta 90.00
_cell_angle_gamma 90.00
_symmetry_space_group_name_H-M 'I m m 2'
_symmetry_Int_Tables_number 44
_symmetry_space_group_name_Hall 'I 2 -2'
loop_
_atom_site_label
_atom_site_type_symbol
_atom_site_fract_x
_atom_site_fract_y
_atom_site_fract_z
Y1 Y 0.000 0.000 0.000
Y2 Y 0.000 0.123 0.590
Y3 Y 0.000 0.316 0.379
Y4 Y 0.000 0.362 0.747
Ag1 Ag 0.000 0.236 0.078
Te1 Te 0.000 0.000 0.339
Te2 Te 0.000 0.500 0.242

> Which value of calculated total energy does entry 6 give?

-112.1 eV for the cell shown